Sc2AgP: PBEsol geometry, SCAN.

abc: 8.864 8.864 8.864
angles: 22.20 22.20 22.20
Sites, in units of the cell vectors:
Sc  0.108  0.108  0.108
Sc  0.892  0.892  0.892
Ag  0.000  0.000  0.000
P  0.500  0.500  0.500

Results
Space-group type   No. 166
E   -71.9 eV/cell
N(E_F)   2.3 states/eV/cell
E_form   -0.42 eV per atom
E above lowest polymorph   411.0 meV per atom
V   87 Å³/cell